Record 1
DFT (PBE-GGA) results for crystalline Tb2TmIn at its relaxed geometry.

Cell lengths 4.836, 4.836, 4.836 Å; angles 90.00, 90.00, 90.00 degrees
Element x y z (fractional)
Tb 0.000 0.500 0.000
Tb 0.500 0.000 0.000
Tm 0.000 0.000 0.500
In 0.500 0.500 0.500

N(E_F), states/eV/cell: 6.036
Space-group type: No. 123
E_tot, eV/atom: -4.38

***

Record 2
DFT (PBE-GGA) results for crystalline Tb2Tm3In4 at its relaxed geometry.

Cell lengths 5.231, 5.231, 10.226 Å; angles 90.09, 90.09, 60.06 degrees
Element x y z (fractional)
Tb 0.167 0.167 0.276
Tb 0.833 0.833 0.724
Tm 0.166 0.166 0.927
Tm 0.500 0.500 0.500
Tm 0.834 0.834 0.073
In 0.166 0.166 0.601
In 0.500 0.500 0.154
In 0.500 0.500 0.846
In 0.834 0.834 0.399

N(E_F), states/eV/cell: 7.997
Space-group type: No. 12
E_tot, eV/atom: -4.13

***

Record 3
DFT (PBE-GGA) results for crystalline Tb6Tm8In at its relaxed geometry.

Cell lengths 8.412, 8.412, 8.412 Å; angles 64.06, 64.06, 64.06 degrees
Element x y z (fractional)
Tb 0.048 0.606 0.728
Tb 0.272 0.952 0.394
Tb 0.394 0.272 0.952
Tb 0.606 0.728 0.048
Tb 0.728 0.048 0.606
Tb 0.952 0.394 0.272
Tm 0.076 0.076 0.076
Tm 0.217 0.609 0.246
Tm 0.246 0.217 0.609
Tm 0.391 0.754 0.783
Tm 0.609 0.246 0.217
Tm 0.754 0.783 0.391
Tm 0.783 0.391 0.754
Tm 0.924 0.924 0.924
In 0.500 0.500 0.500

N(E_F), states/eV/cell: 18.781
Space-group type: No. 148
E_tot, eV/atom: -4.40

***

Record 4
DFT (PBE-GGA) results for crystalline Tb6TmIn2 at its relaxed geometry.

Cell lengths 8.823, 8.823, 8.823 Å; angles 138.42, 138.42, 60.26 degrees
Element x y z (fractional)
Tb 0.090 0.734 0.000
Tb 0.250 0.750 0.500
Tb 0.266 0.266 0.356
Tb 0.734 0.090 0.000
Tb 0.750 0.250 0.500
Tb 0.910 0.910 0.644
Tm 0.500 0.500 0.000
In 0.289 0.289 0.000
In 0.711 0.711 0.000

N(E_F), states/eV/cell: 13.141
Space-group type: No. 121
E_tot, eV/atom: -3.86

***

Record 5
DFT (PBE-GGA) results for crystalline Tb7Tm12In at its relaxed geometry.

Cell lengths 8.565, 8.565, 8.565 Å; angles 87.25, 87.25, 87.25 degrees
Element x y z (fractional)
Tb 0.000 0.000 0.000
Tb 0.108 0.354 0.425
Tb 0.354 0.425 0.108
Tb 0.425 0.108 0.354
Tb 0.575 0.892 0.646
Tb 0.646 0.575 0.892
Tb 0.892 0.646 0.575
Tm 0.002 0.641 0.114
Tm 0.114 0.002 0.641
Tm 0.243 0.750 0.364
Tm 0.250 0.636 0.757
Tm 0.359 0.886 0.998
Tm 0.364 0.243 0.750
Tm 0.636 0.757 0.250
Tm 0.641 0.114 0.002
Tm 0.750 0.364 0.243
Tm 0.757 0.250 0.636
Tm 0.886 0.998 0.359
Tm 0.998 0.359 0.886
In 0.500 0.500 0.500

N(E_F), states/eV/cell: 31.459
Space-group type: No. 148
E_tot, eV/atom: -4.27

***

Record 6
DFT (PBE-GGA) results for crystalline Tb3Tm2In6 at its relaxed geometry.

Cell lengths 11.826, 11.826, 11.826 Å; angles 151.84, 151.84, 40.25 degrees
Element x y z (fractional)
Tb 0.000 0.000 0.000
Tb 0.149 0.149 0.000
Tb 0.851 0.851 0.000
Tm 0.425 0.425 0.000
Tm 0.575 0.575 0.000
In 0.073 0.573 0.500
In 0.288 0.288 0.000
In 0.427 0.927 0.500
In 0.573 0.073 0.500
In 0.712 0.712 0.000
In 0.927 0.427 0.500

N(E_F), states/eV/cell: 13.820
Space-group type: No. 139
E_tot, eV/atom: -3.49